Entry 1:
{
  "formula": "Ac2ErNpO8",
  "functional": "PBE-GGA",
  "state": "relaxed",
  "lattice_angstrom": [[4.107, 0.000, 0.000], [0.000, 7.698, 0.000], [-0.565, 0.000, 5.735]],
  "species": ["Ac", "Ac", "Er", "Np", "O", "O", "O", "O", "O", "O", "O", "O"],
  "frac_coords": [[0.000, 0.246, 0.000], [0.000, 0.754, 0.000], [0.500, 0.000, 0.500], [0.500, 0.500, 0.500], [0.038, 0.000, 0.261], [0.077, 0.500, 0.296], [0.454, 0.282, 0.718], [0.454, 0.718, 0.718], [0.546, 0.282, 0.282], [0.546, 0.718, 0.282], [0.923, 0.500, 0.704], [0.962, 0.000, 0.739]],
  "spacegroup": "P2/m, No. 10"
}

Entry 2:
{
  "formula": "AcErNpO6",
  "functional": "PBE-GGA",
  "state": "relaxed",
  "lattice_angstrom": [[5.792, 0.000, 0.000], [-2.896, 5.016, 0.000], [0.000, 0.000, 10.367]],
  "species": ["Ac", "Ac", "Er", "Er", "Np", "Np", "O", "O", "O", "O", "O", "O", "O", "O", "O", "O", "O", "O"],
  "frac_coords": [[0.000, 0.000, 0.000], [0.000, 0.000, 0.500], [0.333, 0.667, 0.250], [0.667, 0.333, 0.750], [0.333, 0.667, 0.750], [0.667, 0.333, 0.250], [0.022, 0.372, 0.642], [0.022, 0.649, 0.858], [0.351, 0.372, 0.858], [0.351, 0.978, 0.642], [0.372, 0.022, 0.142], [0.372, 0.351, 0.358], [0.628, 0.649, 0.642], [0.628, 0.978, 0.858], [0.649, 0.022, 0.358], [0.649, 0.628, 0.142], [0.978, 0.351, 0.142], [0.978, 0.628, 0.358]],
  "spacegroup": "P-31c, No. 163"
}

Entry 3:
{
  "formula": "Ac2ErNpS6",
  "functional": "PBE-GGA",
  "state": "relaxed",
  "lattice_angstrom": [[3.642, 2.103, 6.213], [-3.642, 2.103, 6.213], [0.000, -4.206, 6.213]],
  "species": ["Ac", "Ac", "Er", "Np", "S", "S", "S", "S", "S", "S"],
  "frac_coords": [[0.000, 0.000, 0.000], [0.498, 0.498, 0.498], [0.712, 0.712, 0.712], [0.213, 0.213, 0.213], [0.068, 0.432, 0.846], [0.350, 0.924, 0.576], [0.432, 0.846, 0.068], [0.576, 0.350, 0.924], [0.846, 0.068, 0.432], [0.924, 0.576, 0.350]],
  "spacegroup": "R3, No. 146"
}

Entry 4:
{
  "formula": "Ac3ErO",
  "functional": "PBE-GGA",
  "state": "relaxed",
  "lattice_angstrom": [[5.396, 0.000, 0.000], [0.000, 5.396, 0.000], [0.000, 0.000, 5.396]],
  "species": ["Ac", "Ac", "Ac", "Er", "O"],
  "frac_coords": [[0.000, 0.000, 0.500], [0.000, 0.500, 0.000], [0.500, 0.000, 0.000], [0.500, 0.500, 0.500], [0.000, 0.000, 0.000]],
  "spacegroup": "Pm-3m, No. 221"
}

Entry 5:
{
  "formula": "Ac2ErO",
  "functional": "PBE-GGA",
  "state": "relaxed",
  "lattice_angstrom": [[1.893, 1.093, 10.050], [-1.893, 1.093, 10.050], [0.000, -2.186, 10.050]],
  "species": ["Ac", "Ac", "Er", "O"],
  "frac_coords": [[0.116, 0.116, 0.116], [0.884, 0.884, 0.884], [0.000, 0.000, 0.000], [0.500, 0.500, 0.500]],
  "spacegroup": "R-3m, No. 166"
}

Entry 6:
{
  "formula": "AcEr3O",
  "functional": "PBE-GGA",
  "state": "relaxed",
  "lattice_angstrom": [[5.020, 0.000, 0.000], [0.000, 5.020, 0.000], [0.000, 0.000, 5.020]],
  "species": ["Ac", "Er", "Er", "Er", "O"],
  "frac_coords": [[0.000, 0.000, 0.000], [0.000, 0.500, 0.500], [0.500, 0.000, 0.500], [0.500, 0.500, 0.000], [0.500, 0.500, 0.500]],
  "spacegroup": "Pm-3m, No. 221"
}

Entry 7:
{
  "formula": "AcErO2",
  "functional": "PBE-GGA",
  "state": "relaxed",
  "lattice_angstrom": [[1.773, 1.024, 6.144], [-1.773, 1.024, 6.144], [0.000, -2.047, 6.144]],
  "species": ["Ac", "Er", "O", "O"],
  "frac_coords": [[0.000, 0.000, 0.000], [0.500, 0.500, 0.500], [0.227, 0.227, 0.227], [0.773, 0.773, 0.773]],
  "spacegroup": "R-3m, No. 166"
}

Entry 8:
{
  "formula": "Ac2ErO4",
  "functional": "PBE-GGA",
  "state": "relaxed",
  "lattice_angstrom": [[-2.174, 2.174, 6.582], [2.174, -2.174, 6.582], [2.174, 2.174, -6.582]],
  "species": ["Ac", "Ac", "Er", "O", "O", "O", "O"],
  "frac_coords": [[0.150, 0.150, 0.000], [0.850, 0.850, 0.000], [0.500, 0.500, 0.000], [0.000, 0.500, 0.500], [0.327, 0.327, 0.000], [0.500, 0.000, 0.500], [0.673, 0.673, 0.000]],
  "spacegroup": "I4/mmm, No. 139"
}

Entry 9:
{
  "formula": "Ac3Er5O12",
  "functional": "PBE-GGA",
  "state": "relaxed",
  "lattice_angstrom": [[-6.964, 6.964, 6.964], [6.964, -6.964, 6.964], [6.964, 6.964, -6.964]],
  "species": ["Ac", "Ac", "Ac", "Ac", "Ac", "Ac", "Ac", "Ac", "Ac", "Ac", "Ac", "Ac", "Er", "Er", "Er", "Er", "Er", "Er", "Er", "Er", "Er", "Er", "Er", "Er", "Er", "Er", "Er", "Er", "Er", "Er", "Er", "Er", "O", "O", "O", "O", "O", "O", "O", "O", "O", "O", "O", "O", "O", "O", "O", "O", "O", "O", "O", "O", "O", "O", "O", "O", "O", "O", "O", "O", "O", "O", "O", "O", "O", "O", "O", "O", "O", "O", "O", "O", "O", "O", "O", "O", "O", "O", "O", "O"],
  "frac_coords": [[0.125, 0.250, 0.375], [0.125, 0.375, 0.750], [0.250, 0.375, 0.125], [0.250, 0.875, 0.625], [0.375, 0.125, 0.250], [0.375, 0.750, 0.125], [0.625, 0.250, 0.875], [0.625, 0.875, 0.750], [0.750, 0.125, 0.375], [0.750, 0.625, 0.875], [0.875, 0.625, 0.250], [0.875, 0.750, 0.625], [0.000, 0.000, 0.000], [0.000, 0.000, 0.500], [0.000, 0.500, 0.000], [0.000, 0.500, 0.500], [0.125, 0.750, 0.875], [0.125, 0.875, 0.250], [0.250, 0.125, 0.875], [0.250, 0.625, 0.375], [0.375, 0.250, 0.625], [0.375, 0.625, 0.750], [0.500, 0.000, 0.000], [0.500, 0.000, 0.500], [0.500, 0.500, 0.000], [0.500, 0.500, 0.500], [0.625, 0.375, 0.250], [0.625, 0.750, 0.375], [0.750, 0.375, 0.625], [0.750, 0.875, 0.125], [0.875, 0.125, 0.750], [0.875, 0.250, 0.125], [0.032, 0.208, 0.126], [0.032, 0.324, 0.906], [0.082, 0.708, 0.676], [0.082, 0.874, 0.406], [0.094, 0.626, 0.418], [0.094, 0.968, 0.676], [0.126, 0.032, 0.208], [0.126, 0.594, 0.918], [0.176, 0.208, 0.582], [0.176, 0.468, 0.594], [0.208, 0.126, 0.032], [0.208, 0.582, 0.176], [0.292, 0.324, 0.918], [0.292, 0.468, 0.374], [0.324, 0.906, 0.032], [0.324, 0.918, 0.292], [0.374, 0.292, 0.468], [0.374, 0.582, 0.906], [0.406, 0.082, 0.874], [0.406, 0.824, 0.532], [0.418, 0.094, 0.626], [0.418, 0.824, 0.792], [0.468, 0.374, 0.292], [0.468, 0.594, 0.176], [0.532, 0.406, 0.824], [0.532, 0.626, 0.708], [0.582, 0.176, 0.208], [0.582, 0.906, 0.374], [0.594, 0.176, 0.468], [0.594, 0.918, 0.126], [0.626, 0.418, 0.094], [0.626, 0.708, 0.532], [0.676, 0.082, 0.708], [0.676, 0.094, 0.968], [0.708, 0.532, 0.626], [0.708, 0.676, 0.082], [0.792, 0.418, 0.824], [0.792, 0.874, 0.968], [0.824, 0.532, 0.406], [0.824, 0.792, 0.418], [0.874, 0.406, 0.082], [0.874, 0.968, 0.792], [0.906, 0.032, 0.324], [0.906, 0.374, 0.582], [0.918, 0.126, 0.594], [0.918, 0.292, 0.324], [0.968, 0.676, 0.094], [0.968, 0.792, 0.874]],
  "spacegroup": "Ia-3d, No. 230"
}

Entry 10:
{
  "formula": "Ac2ErOsO8",
  "functional": "PBE-GGA",
  "state": "relaxed",
  "lattice_angstrom": [[4.947, 0.000, 0.000], [-0.256, 5.462, 0.000], [-0.222, -0.019, 7.093]],
  "species": ["Ac", "Ac", "Er", "Os", "O", "O", "O", "O", "O", "O", "O", "O"],
  "frac_coords": [[0.075, 0.028, 0.256], [0.925, 0.972, 0.744], [0.500, 0.500, 0.000], [0.500, 0.500, 0.500], [0.180, 0.218, 0.973], [0.195, 0.304, 0.536], [0.332, 0.653, 0.280], [0.389, 0.732, 0.697], [0.611, 0.268, 0.303], [0.668, 0.347, 0.720], [0.805, 0.696, 0.464], [0.820, 0.782, 0.027]],
  "spacegroup": "P-1, No. 2"
}

Entry 11:
{
  "formula": "AcErP2O8",
  "functional": "PBE-GGA",
  "state": "relaxed",
  "lattice_angstrom": [[5.304, 0.000, 0.000], [-2.652, 4.593, 0.000], [0.000, 0.000, 7.408]],
  "species": ["Ac", "Er", "P", "P", "O", "O", "O", "O", "O", "O", "O", "O"],
  "frac_coords": [[0.000, 0.000, 0.000], [0.000, 0.000, 0.500], [0.333, 0.667, 0.777], [0.667, 0.333, 0.223], [0.171, 0.349, 0.707], [0.178, 0.829, 0.707], [0.333, 0.667, 0.985], [0.349, 0.178, 0.293], [0.651, 0.822, 0.707], [0.667, 0.333, 0.015], [0.822, 0.171, 0.293], [0.829, 0.651, 0.293]],
  "spacegroup": "P-3, No. 147"
}

Entry 12:
{
  "formula": "AcErPa2O8",
  "functional": "PBE-GGA",
  "state": "relaxed",
  "lattice_angstrom": [[-2.767, 2.767, 5.455], [2.767, -2.767, 5.455], [2.767, 2.767, -5.455]],
  "species": ["Ac", "Er", "Pa", "Pa", "O", "O", "O", "O", "O", "O", "O", "O"],
  "frac_coords": [[0.000, 0.000, 0.000], [0.250, 0.750, 0.500], [0.500, 0.500, 0.000], [0.750, 0.250, 0.500], [0.129, 0.141, 0.529], [0.129, 0.600, 0.989], [0.400, 0.388, 0.529], [0.400, 0.871, 0.011], [0.612, 0.141, 0.011], [0.612, 0.600, 0.471], [0.859, 0.388, 0.989], [0.859, 0.871, 0.471]],
  "spacegroup": "I-4m2, No. 119"
}

Entry 13:
{
  "formula": "AcErPaO6",
  "functional": "PBE-GGA",
  "state": "relaxed",
  "lattice_angstrom": [[5.267, 0.000, 0.000], [0.000, 5.267, 0.000], [0.000, 0.000, 10.963]],
  "species": ["Ac", "Ac", "Er", "Er", "Pa", "Pa", "O", "O", "O", "O", "O", "O", "O", "O", "O", "O", "O", "O"],
  "frac_coords": [[0.000, 0.000, 0.000], [0.500, 0.500, 0.500], [0.000, 0.000, 0.331], [0.500, 0.500, 0.831], [0.000, 0.000, 0.666], [0.500, 0.500, 0.166], [0.174, 0.174, 0.503], [0.196, 0.196, 0.811], [0.206, 0.206, 0.178], [0.294, 0.706, 0.678], [0.304, 0.696, 0.311], [0.326, 0.674, 0.003], [0.674, 0.326, 0.003], [0.696, 0.304, 0.311], [0.706, 0.294, 0.678], [0.794, 0.794, 0.178], [0.804, 0.804, 0.811], [0.826, 0.826, 0.503]],
  "spacegroup": "P4_2nm, No. 102"
}

Entry 14:
{
  "formula": "AcErPb2O8",
  "functional": "PBE-GGA",
  "state": "relaxed",
  "lattice_angstrom": [[-2.795, 2.795, 5.733], [2.795, -2.795, 5.733], [2.795, 2.795, -5.733]],
  "species": ["Ac", "Er", "Pb", "Pb", "O", "O", "O", "O", "O", "O", "O", "O"],
  "frac_coords": [[0.000, 0.000, 0.000], [0.750, 0.250, 0.500], [0.250, 0.750, 0.500], [0.500, 0.500, 0.000], [0.088, 0.627, 0.033], [0.138, 0.214, 0.557], [0.373, 0.406, 0.461], [0.418, 0.862, 0.076], [0.594, 0.055, 0.967], [0.657, 0.582, 0.443], [0.786, 0.343, 0.924], [0.945, 0.912, 0.539]],
  "spacegroup": "I-4, No. 82"
}

Entry 15:
{
  "formula": "Ac2ErPb2O2",
  "functional": "PBE-GGA",
  "state": "relaxed",
  "lattice_angstrom": [[-2.249, 2.249, 8.665], [2.249, -2.249, 8.665], [2.249, 2.249, -8.665]],
  "species": ["Ac", "Ac", "Er", "Pb", "Pb", "O", "O"],
  "frac_coords": [[0.109, 0.109, 0.000], [0.891, 0.891, 0.000], [0.500, 0.500, 0.000], [0.301, 0.301, 0.000], [0.699, 0.699, 0.000], [0.000, 0.500, 0.500], [0.500, 0.000, 0.500]],
  "spacegroup": "I4/mmm, No. 139"
}

Entry 16:
{
  "formula": "Ac2ErPbO6",
  "functional": "PBE-GGA",
  "state": "relaxed",
  "lattice_angstrom": [[6.054, 0.000, 0.000], [0.000, 6.301, 0.000], [-6.016, 0.000, 8.770]],
  "species": ["Ac", "Ac", "Ac", "Ac", "Er", "Er", "Pb", "Pb", "O", "O", "O", "O", "O", "O", "O", "O", "O", "O", "O", "O"],
  "frac_coords": [[0.231, 0.055, 0.248], [0.231, 0.445, 0.748], [0.769, 0.555, 0.252], [0.769, 0.945, 0.752], [0.500, 0.000, 0.000], [0.500, 0.500, 0.500], [0.000, 0.000, 0.500], [0.000, 0.500, 0.000], [0.140, 0.189, 0.937], [0.140, 0.311, 0.437], [0.239, 0.708, 0.928], [0.239, 0.792, 0.428], [0.387, 0.059, 0.760], [0.387, 0.441, 0.260], [0.613, 0.559, 0.740], [0.613, 0.941, 0.240], [0.761, 0.208, 0.572], [0.761, 0.292, 0.072], [0.860, 0.689, 0.563], [0.860, 0.811, 0.063]],
  "spacegroup": "P2_1/c, No. 14"
}

Entry 17:
{
  "formula": "Ac2PrErO6",
  "functional": "PBE-GGA",
  "state": "relaxed",
  "lattice_angstrom": [[6.098, 0.000, 0.000], [0.000, 6.300, 0.000], [-6.053, 0.000, 8.826]],
  "species": ["Ac", "Ac", "Ac", "Ac", "Pr", "Pr", "Er", "Er", "O", "O", "O", "O", "O", "O", "O", "O", "O", "O", "O", "O"],
  "frac_coords": [[0.235, 0.048, 0.251], [0.235, 0.452, 0.751], [0.765, 0.548, 0.249], [0.765, 0.952, 0.749], [0.500, 0.000, 0.000], [0.500, 0.500, 0.500], [0.000, 0.000, 0.500], [0.000, 0.500, 0.000], [0.116, 0.204, 0.929], [0.116, 0.296, 0.429], [0.231, 0.690, 0.934], [0.231, 0.810, 0.434], [0.368, 0.060, 0.741], [0.368, 0.440, 0.241], [0.632, 0.560, 0.759], [0.632, 0.940, 0.259], [0.769, 0.190, 0.566], [0.769, 0.310, 0.066], [0.884, 0.704, 0.571], [0.884, 0.796, 0.071]],
  "spacegroup": "P2_1/c, No. 14"
}

Entry 18:
{
  "formula": "Ac2ErPt3O12",
  "functional": "PBE-GGA",
  "state": "relaxed",
  "lattice_angstrom": [[3.570, 2.061, 5.477], [-3.570, 2.061, 5.477], [0.000, -4.123, 5.477]],
  "species": ["Ac", "Ac", "Er", "Pt", "Pt", "Pt", "O", "O", "O", "O", "O", "O", "O", "O", "O", "O", "O", "O"],
  "frac_coords": [[0.117, 0.117, 0.117], [0.883, 0.883, 0.883], [0.500, 0.500, 0.500], [0.000, 0.500, 0.500], [0.500, 0.000, 0.500], [0.500, 0.500, 0.000], [0.070, 0.644, 0.644], [0.233, 0.233, 0.644], [0.233, 0.644, 0.233], [0.356, 0.356, 0.930], [0.356, 0.767, 0.767], [0.356, 0.930, 0.356], [0.644, 0.070, 0.644], [0.644, 0.233, 0.233], [0.644, 0.644, 0.070], [0.767, 0.356, 0.767], [0.767, 0.767, 0.356], [0.930, 0.356, 0.356]],
  "spacegroup": "R-3m, No. 166"
}

no.,uncorrected energy (eV/f.u.)
1,-102.677
2,-80.721
3,-69.394
4,-27.140
5,-21.463
6,-27.513
7,-29.645
8,-54.010
9,-163.606
10,-92.689
11,-95.068
12,-111.042
13,-77.224
14,-76.423
15,-41.986
16,-73.925
17,-80.980
18,-119.398